Crystalline MgInSn2Te5 at its relaxed geometry. Source: Alexandria, functional GGA-PBE.

## Properties
SG: Cmc2_1 (36)
energy relative to the elements, uncorrected: -0.319 eV/atom

Lattice parameters (Å, degrees): 4.2855 11.0004 13.5983 90.00 90.00 101.23
Sites, in units of the cell vectors:
In (0.5533, 0.1065, 0.9185)
In (0.4467, 0.8935, 0.4185)
Te (0.3073, 0.6146, 0.6751)
Te (0.3196, 0.6392, 0.3576)
Te (0.6746, 0.3492, 0.5179)
Te (0.0478, 0.0956, 0.0508)
Te (0.9522, 0.9044, 0.5508)
Te (0.5378, 0.0757, 0.2737)
Te (0.4622, 0.9243, 0.7737)
Te (0.6804, 0.3608, 0.8576)
Te (0.3254, 0.6508, 0.0179)
Te (0.6927, 0.3854, 0.1751)
Sn (0.1740, 0.3480, 0.6764)
Sn (0.8260, 0.6520, 0.1764)
Sn (0.8676, 0.7353, 0.8330)
Sn (0.1324, 0.2647, 0.3330)
Mg (0.8142, 0.6283, 0.5210)
Mg (0.1858, 0.3717, 0.0210)

Crystalline TiAlNi2C at its relaxed geometry. Source: Alexandria, functional GGA-PBE.

## Properties
SG: P4/mmm (123)
ΔH_f (0 K): 5.82 eV/f.u.

Lattice parameters (Å, degrees): 4.3891 3.9293 4.3891 90.00 90.00 90.00
Sites, in units of the cell vectors:
Ti (0.0000, 0.0000, 0.0000)
Ni (0.5000, 0.0000, 0.0000)
Ni (0.0000, 0.0000, 0.5000)
Al (0.5000, 0.5000, 0.5000)
C (0.0000, 0.5000, 0.0000)

| no. | total magnetic moment (μB/cell) |
| --- | --- |
| 1 | 0.000 |
| 2 | 0.000 |